Entry 1:
Compound: Sr4LiY2Ru2O12
Source: Alexandria via LeMat-Bulk
Functional: PBE
Structure: relaxed

a = 5.7433 Å, b = 6.0408 Å, c = 8.3063 Å
α = 88.38°, β = 88.69°, γ = 89.18°
With the nearest neighbours (Å) after each atom.
Fractional positions:
Sr 0.0000 0.0000 0.0000  6 O 2.52-2.79
Sr 0.0497 0.1527 0.5299  6 O 2.47-2.71, 1 Li 2.48
Sr 0.4721 0.6085 0.4961  6 O 2.47-2.72
Sr 0.5274 0.5049 0.9903  6 O 2.53-2.79
Li 0.8618 0.8497 0.3882  3 O 1.88-2.01
Y 0.0087 0.5209 0.2324  5 O 2.16-2.32
Y 0.5216 0.0580 0.7498  6 O 2.21-2.29
Ru 0.0134 0.5691 0.7474  6 O 1.97-2.07
Ru 0.4988 0.0485 0.2471  6 O 1.98-2.07
O 0.0933 0.5742 0.9793  1 Ru 1.99, 1 Y 2.16
O 0.2062 0.8646 0.2952  1 Ru 2.05, 1 Li 2.11
O 0.2106 0.8395 0.7081  1 Ru 2.02
O 0.2944 0.3656 0.7085  1 Ru 2.04, 1 Y 2.28
O 0.3179 0.3236 0.2979  1 Ru 2.00, 1 Y 2.19
O 0.4292 0.0782 0.0151  1 Ru 1.98
O 0.6089 0.0176 0.4817  1 Li 1.92, 1 Ru 2.06
O 0.6961 0.7660 0.2072  1 Li 1.88, 1 Ru 2.07
O 0.7422 0.7615 0.7944  1 Ru 1.97
O 0.7826 0.2366 0.2040  1 Ru 2.02, 1 Y 2.19
O 0.8211 0.2909 0.7869  1 Ru 2.04, 1 Y 2.27
O 0.9325 0.5614 0.5061  1 Li 2.01, 1 Ru 2.07

Output
Formation energy (no corrections) (eV per formula unit): -49.06
E above lowest polymorph (eV per atom): 0.007



Entry 2:
Compound: KRbCuN2
Source: Alexandria via LeMat-Bulk
Functional: PBE
Structure: relaxed

a = 5.3255 Å, b = 5.3255 Å, c = 7.2616 Å
α = 90.00°, β = 90.00°, γ = 90.00°
With the nearest neighbours (Å) after each atom.
Fractional positions:
K 0.0000 0.0000 0.0000  2 Rb 3.63, 4 Cu 3.77
Rb 0.0000 0.0000 0.5000  4 N 2.66
Cu 0.5000 0.5000 0.0000  4 K 3.77
N 0.0000 0.5000 0.5000  2 Rb 2.66
N 0.5000 0.0000 0.5000  2 Rb 2.66

Output
Formation energy (no corrections) (eV per formula unit): 11.92



Entry 3:
Compound: CrW4Br
Source: Alexandria via LeMat-Bulk
Functional: PBE
Structure: relaxed

a = 5.3363 Å, b = 5.3363 Å, c = 5.3363 Å
α = 60.00°, β = 60.00°, γ = 60.00°
With the nearest neighbours (Å) after each atom.
Fractional positions:
Cr 0.0000 0.0000 0.0000  12 W 3.13, 4 Br 3.27
W 0.3750 0.3750 0.3750  6 W 2.67
W 0.3750 0.3750 0.8751  6 W 2.67
W 0.3750 0.8751 0.3750  6 W 2.67
W 0.8751 0.3750 0.3750  6 W 2.67
Br 0.7500 0.7500 0.7500  12 W 3.13, 4 Cr 3.27

Output
Formation energy (no corrections) (eV per formula unit): 6.89



Entry 4:
Compound: VRe
Source: Alexandria via LeMat-Bulk
Functional: PBE
Structure: relaxed

a = 7.4972 Å, b = 7.4972 Å, c = 4.3576 Å
α = 90.00°, β = 90.00°, γ = 90.00°
With the nearest neighbours (Å) after each atom.
Fractional positions:
V 0.0314 0.3109 0.0000  4 Re 2.47-2.69, 2 V 2.64
V 0.1279 0.8062 0.5000  4 V 2.46-2.64, 2 Re 2.55-2.56
V 0.1938 0.1279 0.5000  4 V 2.46-2.64, 2 Re 2.55-2.56
V 0.3109 0.9686 0.0000  4 Re 2.47-2.69, 2 V 2.64
V 0.6891 0.0314 0.0000  4 Re 2.47-2.69, 2 V 2.64
V 0.8062 0.8721 0.5000  4 V 2.46-2.64, 2 Re 2.55-2.56
V 0.8721 0.1938 0.5000  4 V 2.46-2.64, 2 Re 2.55-2.56
V 0.9686 0.6891 0.0000  4 Re 2.47-2.69, 2 V 2.64
Re 0.1716 0.4671 0.5000  4 V 2.55-2.69, 3 Re 2.62-2.65
Re 0.2929 0.6284 0.0000  2 V 2.47-2.55, 4 Re 2.58-2.65
Re 0.3716 0.2929 0.0000  2 V 2.47-2.55, 4 Re 2.58-2.65
Re 0.4671 0.8284 0.5000  4 V 2.55-2.69, 3 Re 2.62-2.65
Re 0.5329 0.1716 0.5000  4 V 2.55-2.69, 3 Re 2.62-2.65
Re 0.6284 0.7071 0.0000  2 V 2.47-2.55, 4 Re 2.58-2.65
Re 0.7071 0.3716 0.0000  2 V 2.47-2.55, 4 Re 2.58-2.65
Re 0.8284 0.5329 0.5000  4 V 2.55-2.69, 3 Re 2.62-2.65

Output
DFT formation energy (meV per atom): 187



Entry 5:
Compound: Cs7Rb12Ag
Source: Alexandria via LeMat-Bulk
Functional: PBE
Structure: relaxed

a = 16.0657 Å, b = 16.0657 Å, c = 16.0657 Å
α = 116.68°, β = 116.68°, γ = 116.68°
With the nearest neighbours (Å) after each atom.
Fractional positions:
Cs 0.0000 0.0000 0.0000  2 Ag 4.44, 6 Cs 4.62
Cs 0.1752 0.4027 0.4023  1 Ag 3.90
Cs 0.4023 0.1753 0.4027  1 Ag 3.90
Cs 0.4027 0.4023 0.1752  1 Ag 3.90
Cs 0.5973 0.5977 0.8248  1 Ag 3.90
Cs 0.5977 0.8248 0.5973  1 Ag 3.90
Cs 0.8248 0.5973 0.5977  1 Ag 3.90
Rb 0.0003 0.4088 0.5914  3 Rb 4.64-4.99, 2 Cs 4.98
Rb 0.9997 0.5912 0.4086  3 Rb 4.64-4.99, 2 Cs 4.98
Rb 0.0417 0.0421 0.4013  1 Rb 4.44, 1 Cs 4.81
Rb 0.0421 0.4013 0.0417  1 Rb 4.44, 1 Cs 4.81
Rb 0.4013 0.0417 0.0421  1 Rb 4.44, 1 Cs 4.81
Rb 0.4086 0.9997 0.5912  3 Rb 4.64-4.99, 2 Cs 4.98
Rb 0.4088 0.5914 0.0003  3 Rb 4.64-4.99, 2 Cs 4.98
Rb 0.5914 0.0003 0.4088  3 Rb 4.64-4.99, 2 Cs 4.98
Rb 0.5912 0.4086 0.9997  3 Rb 4.64-4.99, 2 Cs 4.98
Rb 0.5987 0.9583 0.9579  1 Rb 4.44, 1 Cs 4.81
Rb 0.9579 0.5987 0.9583  1 Rb 4.44, 1 Cs 4.81
Rb 0.9583 0.9579 0.5987  1 Rb 4.44, 1 Cs 4.81
Ag 0.5000 0.5000 0.5000  6 Cs 3.90

Output
DFT formation energy (meV per atom): 54



Entry 6:
Compound: La2NdTh3Se6
Source: Alexandria via LeMat-Bulk
Functional: PBE
Structure: relaxed

a = 9.5359 Å, b = 9.5359 Å, c = 8.4709 Å
α = 104.09°, β = 104.09°, γ = 25.76°
With the nearest neighbours (Å) after each atom.
Fractional positions:
La 0.1660 0.1660 0.3325  6 Se 3.02-3.03
La 0.8340 0.8340 0.6675  6 Se 3.02-3.03
Nd 0.5000 0.5000 0.0000  6 Se 2.99-3.00
Th 0.1672 0.1672 0.8330  6 Se 2.98-3.00
Th 0.5000 0.5000 0.5000  6 Se 2.99-3.00
Th 0.8328 0.8328 0.1670  6 Se 2.98-3.00
Se 0.0017 0.0017 0.7511  3 Th 2.98-3.00, 2 Nd 3.00, 1 La 3.02
Se 0.3340 0.3340 0.4146  3 Th 2.98-2.99, 3 La 3.02-3.03
Se 0.3340 0.3340 0.9206  3 Th 2.98-3.00, 1 Nd 2.99, 2 La 3.02
Se 0.6660 0.6660 0.0794  3 Th 2.98-3.00, 1 Nd 2.99, 2 La 3.02
Se 0.6660 0.6660 0.5854  3 Th 2.98-2.99, 3 La 3.02-3.03
Se 0.9983 0.9983 0.2489  3 Th 2.98-3.00, 2 Nd 3.00, 1 La 3.02

Output
Formation energy (no corrections) (eV per formula unit): -20.78



Entry 7:
Compound: YIrSCl2
Source: Alexandria via LeMat-Bulk
Functional: PBE
Structure: relaxed

a = 5.1326 Å, b = 5.1326 Å, c = 5.4360 Å
α = 90.00°, β = 90.00°, γ = 90.00°
With the nearest neighbours (Å) after each atom.
Fractional positions:
Y 0.0000 0.0000 0.0000  4 Cl 2.57, 2 S 2.72
Ir 0.5000 0.5000 0.5000  4 S 3.63, 8 Cl 3.74
S 0.0000 0.0000 0.5000  2 Y 2.72
Cl 0.0000 0.5000 0.0000  2 Y 2.57
Cl 0.5000 0.0000 0.0000  2 Y 2.57

Output
Formation energy (no corrections) (eV per formula unit): -0.46
E above lowest polymorph (eV per atom): 0.276



Entry 8:
Compound: PtC2
Source: Alexandria via LeMat-Bulk
Functional: PBE
Structure: relaxed

a = 10.5496 Å, b = 10.5496 Å, c = 2.6236 Å
α = 90.00°, β = 90.00°, γ = 158.29°
With the nearest neighbours (Å) after each atom.
Fractional positions:
Pt 0.1994 0.8006 0.7500  2 C 1.99
Pt 0.8006 0.1994 0.2500  2 C 1.99
C 0.2954 0.7046 0.2500  2 Pt 1.99
C 0.5000 0.5000 0.2500  2 C 1.31
C 0.5000 0.5000 0.7500  2 C 1.31
C 0.7046 0.2954 0.7500  2 Pt 1.99

Output
DFT formation energy (meV per atom): 1357
E above lowest polymorph (eV per atom): 1.036



Entry 9:
Compound: TbHo4Er3S8
Source: Alexandria via LeMat-Bulk
Functional: PBE
Structure: relaxed

a = 7.7645 Å, b = 7.7645 Å, c = 7.7645 Å
α = 60.01°, β = 60.01°, γ = 60.01°
With the nearest neighbours (Å) after each atom.
Fractional positions:
Tb 0.0000 0.0000 0.0000  6 S 2.76
Ho 0.0000 0.0000 0.5000  6 S 2.75
Ho 0.0000 0.5000 0.0000  6 S 2.75
Ho 0.5000 0.0000 0.0000  6 S 2.75
Ho 0.5000 0.5000 0.5000  6 S 2.73
Er 0.0000 0.5000 0.5000  6 S 2.74
Er 0.5000 0.0000 0.5000  6 S 2.74
Er 0.5000 0.5000 0.0000  6 S 2.74
S 0.2507 0.2507 0.2507  3 Er 2.74, 3 Ho 2.75
S 0.2514 0.2514 0.7471  3 Ho 2.73-2.75, 2 Er 2.74, 1 Tb 2.76
S 0.2514 0.7471 0.2514  3 Ho 2.73-2.75, 2 Er 2.74, 1 Tb 2.76
S 0.2529 0.7486 0.7486  3 Ho 2.73-2.75, 2 Er 2.74, 1 Tb 2.76
S 0.7471 0.2514 0.2514  3 Ho 2.73-2.75, 2 Er 2.74, 1 Tb 2.76
S 0.7486 0.2529 0.7486  3 Ho 2.73-2.75, 2 Er 2.74, 1 Tb 2.76
S 0.7486 0.7486 0.2529  3 Ho 2.73-2.75, 2 Er 2.74, 1 Tb 2.76
S 0.7493 0.7493 0.7493  3 Er 2.74, 3 Ho 2.75

Output
Formation energy (no corrections) (eV per formula unit): -31.46



Entry 10:
Compound: LiCaAsPt
Source: Alexandria via LeMat-Bulk
Functional: PBE
Structure: relaxed

a = 5.3641 Å, b = 5.3641 Å, c = 5.3641 Å
α = 48.43°, β = 48.43°, γ = 48.43°
With the nearest neighbours (Å) after each atom.
Fractional positions:
Li 0.0000 0.0000 0.0000  3 Pt 2.70, 3 As 2.77, 1 Ca 2.83
Ca 0.2000 0.2000 0.2000  4 Li 2.83-3.17, 4 As 3.00-3.07
As 0.4115 0.4115 0.4115  3 Pt 2.55, 3 Li 2.77
Pt 0.7321 0.7321 0.7321  3 As 2.55, 3 Li 2.70

Output
DFT formation energy (meV per atom): -796



Entry 11:
Compound: CaLa2Cu
Source: Alexandria via LeMat-Bulk
Functional: PBE
Structure: relaxed

a = 3.6517 Å, b = 3.6517 Å, c = 9.2614 Å
α = 90.00°, β = 90.00°, γ = 90.00°
With the nearest neighbours (Å) after each atom.
Fractional positions:
Ca 0.0000 0.0000 0.0000  4 Cu 3.15
La 0.0000 0.0000 0.3810  4 Cu 3.11
La 0.5000 0.5000 0.6724  8 La 3.65-3.74, 4 Ca 3.98
Cu 0.5000 0.5000 0.1942  4 La 3.11, 4 Ca 3.15

Output
DFT formation energy (meV per atom): -27
E above lowest polymorph (eV per atom): 0.004



Entry 12:
Compound: CrOs4Rh
Source: Alexandria via LeMat-Bulk
Functional: PBE
Structure: relaxed

a = 5.1000 Å, b = 5.1000 Å, c = 5.1000 Å
α = 60.00°, β = 60.00°, γ = 60.00°
With the nearest neighbours (Å) after each atom.
Fractional positions:
Cr 0.0000 0.0000 0.0000  12 Os 2.99, 4 Rh 3.12
Os 0.1257 0.6248 0.6248  6 Os 2.54-2.56
Os 0.6248 0.1257 0.6248  6 Os 2.54-2.56
Os 0.6248 0.6248 0.1257  6 Os 2.54-2.56
Os 0.6248 0.6248 0.6248  6 Os 2.54-2.56
Rh 0.2500 0.2500 0.2500  12 Os 2.99, 4 Cr 3.12

Output
DFT formation energy (meV per atom): 685



The calculation returns the following DOS at the Fermi energy values, one per record and in order: 5.20, 7.74, 5.20, 15.17, 18.45, 9.08, 8.13, 0.65, 8.95, 1.85, 5.91, 9.07 states/eV/cell.